Entry from Alexandria: an optimized crystal structure of Y4Zn2Cu (GGA-PBE).

Calculated values
- Symmetry: I4/mmm, No. 139
- ΔE_f: -0.177 eV per atom

Cell lengths 6.1036, 6.1036, 6.1036 Å; angles 109.33, 109.54, 109.54 degrees
Fractional coordinates of all 7 atoms:
Y 0.5000 0.5000 0.5000
Y 0.5000 0.0000 0.0000
Y 0.0000 0.5000 0.0000
Zn 0.5000 0.0000 0.5000
Y 0.0000 0.0000 0.5000
Cu 0.0000 0.0000 0.0000
Zn 0.5000 0.5000 0.0000